The following is a DFT calculation (GGA-PBE) of a geometry-optimized Hf4FeRh3 structure.

Cell: 3.241 3.241 12.956 Å, 90.00 90.00 90.00°
Space group P4/mmm (No. 123)
Unique sites:
Hf (0.000, 0.000, 0.118)
Hf (0.000, 0.000, 0.373)
Fe (0.500, 0.500, 0.000)
Rh (0.500, 0.500, 0.247)
Rh (0.500, 0.500, 0.500)

Properties
Crystal system ... tetragonal
Raw total energy ... -9.528 eV per atom
Density ... 13.16 g cm⁻³
Formation enthalpy at 0 K ... -0.737 eV per atom